Entry from Alexandria: crystalline SrZnW2 at its relaxed geometry (PBE).

abc: 3.4547 3.4558 7.1684
angles: 90.00 90.00 90.00
Fractional positions:
W (0.0000, 0.0000, 0.0892)
W (0.0000, 0.0000, 0.4108)
Zn (0.5000, 0.5000, 0.2500)
Sr (0.5000, 0.5000, 0.7500)

Summary:
Relative energy among the computed polymorphs = 391 meV/atom
Electronic total energy = -25.34 eV for the cell shown
ΔE_f = 881 meV/atom
SG = P4/mmm, No. 123